(1)
A geometry-optimized Pu2Zn3Ga2 structure, computed with PBE.

Results
The calculation puts the total energy at -5.67 eV/atom. The calculation puts the energy of formation at -0.163 eV per atom. The excess energy over the best structure of this formula in the dataset is 23 meV per atom.

a = 4.2169 Å, b = 22.6346 Å, c = 2.8204 Å
α = 90.00°, β = 90.00°, γ = 90.00°
Closest atoms and distances in Å follow each position.
Space group Cmmm (No. 65)
Symmetry-distinct sites (fractional):
Pu 0.0000 0.1438 0.0000  2 Pu 2.82, 4 Ga 3.04
Zn 0.0000 0.0000 0.0000  10 Zn 2.82-2.88
Zn 0.0000 0.4394 0.5000  7 Zn 2.74-2.88
Ga 0.0000 0.2825 0.5000  4 Ga 2.57-2.82

---

(2)
A geometry-optimized La4PmZn2 structure, computed with PBE.

Results
The calculation puts the total energy at -3.79 eV/atom. The calculation puts the energy of formation at 0.071 eV per atom.

a = 5.3938 Å, b = 5.3938 Å, c = 27.5730 Å
α = 90.00°, β = 90.00°, γ = 120.00°
Closest atoms and distances in Å follow each position.
Space group R-3m (No. 166, hexagonal axes)
Symmetry-distinct sites (fractional):
La 0.0000 0.0000 0.0888  3 Zn 3.20, 3 La 3.29
La 0.0000 0.0000 0.2827  4 Zn 3.10-3.13, 3 La 3.29
Pm 0.0000 0.0000 0.5000  2 Zn 2.90
Zn 0.0000 0.0000 0.3950  1 Pm 2.90, 7 La 3.10-3.20